KY2Cu: optimized geometry, PBE.

extended XYZ file:
```
8
Lattice="8.714 0.000 0.000 0.000 8.714 0.000 4.357 4.357 3.518" Properties=species:S:1:pos:R:3 pbc="T T T"
K 4.357 4.357 0.000
K 4.357 8.714 1.759
Y 10.893 11.646 2.638
Y 6.536 5.783 2.638
Y 1.426 6.536 0.879
Y 7.288 2.179 0.879
Cu 8.714 4.357 1.759
Cu 0.000 0.000 0.000
```

Results
**Fermi-level density of states**: 8.60 states/eV/cell
**Uncorrected energy**: -32.43 eV per cell
**ΔE to the lowest computed polymorph**: 1.43 eV per formula unit
**SG**: I-42d
**Magnetic moment**: 0.000 Bohr magnetons per cell


Ba6HgIrAu2: optimized geometry, PBE.

extended XYZ file:
```
10
Lattice="8.197 -0.004 0.002 4.095 7.100 0.003 4.098 2.368 7.658" Properties=species:S:1:pos:R:3 pbc="T T T"
Au 12.291 7.095 0.149
Au 8.193 4.731 3.682
Ba 9.532 2.599 5.886
Ba 10.959 4.532 1.807
Ba 6.982 7.220 1.802
Ba 9.373 6.958 5.884
Ba 6.645 2.436 1.802
Ba 5.679 4.645 5.886
Hg 12.296 7.100 3.820
Ir 4.097 2.367 0.054
```

Results
**Fermi-level density of states**: 6.16 states/eV/cell
**Uncorrected energy**: -31.53 eV per cell
**SG**: P1
**Magnetic moment**: 0.000 Bohr magnetons per cell


Mg2ZrRu: optimized geometry, PBE.

extended XYZ file:
```
8
Lattice="-1.711 3.417 -0.725 -0.998 0.295 3.748 7.622 6.777 3.515" Properties=species:S:1:pos:R:3 pbc="T T T"
Mg 4.716 6.470 3.711
Mg 3.330 8.336 5.340
Mg 0.684 3.920 0.883
Mg 1.094 2.253 3.142
Zr -1.355 1.856 1.511
Zr 2.634 4.464 4.387
Ru 0.000 0.000 0.000
Ru 2.278 6.025 2.150
```

Results
**Fermi-level density of states**: 4.41 states/eV/cell
**Uncorrected energy**: -40.50 eV per cell
**ΔE to the lowest computed polymorph**: 1.54 eV per formula unit
**SG**: I-42d
**Magnetic moment**: 0.000 Bohr magnetons per cell


Calculated density per entry: 3.49 6.00 5.07 Mg/m³